A relaxed LiPaSiPd crystal. Source: the Alexandria database, functional PBE.

abc: 4.730 4.730 4.730
angles: 60.00 60.00 60.00
Atoms (fractional coordinates):
Si (0.750, 0.750, 0.750)
Pa (0.000, 0.000, 0.000)
Pd (0.250, 0.250, 0.250)
Li (0.500, 0.500, 0.500)

Results
Size of the total moment, μB/f.u.: 0.00
Formation energy (no corrections), eV/atom: -0.34
Space group: F-43m
Final energy, eV/atom: -5.847